No. 1
Ho5Er4Zr | GGA-PBE | relaxed

a = 5.8281 Å, b = 7.8703 Å, c = 7.8703 Å
α = 82.12°, β = 68.27°, γ = 68.27°
Closest atoms and distances in Å follow each position.
Element x y z (fractional)
1 Ho 0.7829 0.3695 0.0001  1 Zr 3.05, 1 Ho 3.20, 2 Er 3.26
2 Er 0.4391 0.6787 0.3214  5 Ho 3.26-3.63, 1 Zr 3.58
3 Zr 0.2107 0.0000 0.0000  1 Ho 2.69
4 Er 0.7605 0.6786 0.6787  5 Ho 3.26-3.63, 1 Zr 3.58
5 Ho 0.7830 0.9999 0.3695  1 Zr 3.05, 1 Ho 3.20, 2 Er 3.26
6 Er 0.1178 0.3214 0.3213  5 Ho 3.26-3.63, 1 Zr 3.58
7 Ho 0.1525 0.6305 0.9999  1 Zr 3.05, 1 Ho 3.20, 2 Er 3.26
8 Er 0.4391 0.3213 0.6786  5 Ho 3.26-3.63, 1 Zr 3.58
9 Ho 0.6723 0.0000 0.0000  1 Zr 2.69
10 Ho 0.1525 0.0001 0.6305  1 Zr 3.05, 1 Ho 3.20, 2 Er 3.26

Summary:
**Polymorph energy (0 for the lowest one)**: 0.217 eV per atom
**Formation enthalpy at 0 K**: 5.9 kcal/mol of atoms

No. 2
ZnAg2Te | GGA-PBE | relaxed

a = 5.3931 Å, b = 5.3931 Å, c = 3.0334 Å
α = 90.00°, β = 90.00°, γ = 111.14°
Closest atoms and distances in Å follow each position.
Element x y z (fractional)
1 Ag 0.0000 0.0000 0.0000  4 Ag 3.03-3.05, 4 Zn 3.09, 4 Te 3.09
2 Te 0.5000 0.0000 0.5000  2 Te 3.03, 2 Zn 3.05, 8 Ag 3.09
3 Zn 0.0000 0.5000 0.5000  2 Zn 3.03, 2 Te 3.05, 8 Ag 3.09
4 Ag 0.5000 0.5000 0.0000  4 Ag 3.03-3.05, 4 Te 3.09, 4 Zn 3.09

Summary:
**Polymorph energy (0 for the lowest one)**: 0.150 eV per atom

No. 3
AlSnPd14 | GGA-PBE | relaxed

a = 5.7119 Å, b = 5.7119 Å, c = 7.6251 Å
α = 90.00°, β = 90.00°, γ = 90.00°
Closest atoms and distances in Å follow each position.
Element x y z (fractional)
1 Pd 0.6212 0.6212 0.2546  1 Al 2.73, 10 Pd 2.75-2.90, 1 Sn 2.78
2 Pd 0.1287 0.6213 0.2546  1 Al 2.73, 10 Pd 2.75-2.90, 1 Sn 2.78
3 Pd 0.8750 0.3750 0.5000  8 Pd 2.75, 2 Sn 2.86, 2 Al 2.86
4 Pd 0.3750 0.3750 0.0000  12 Pd 2.78-2.86
5 Al 0.3750 0.3750 0.5000  12 Pd 2.73-2.86
6 Sn 0.8750 0.8750 0.5000  12 Pd 2.78-2.86
7 Pd 0.6212 0.6212 0.7454  1 Al 2.73, 10 Pd 2.75-2.90, 1 Sn 2.78
8 Pd 0.1288 0.1288 0.7454  1 Al 2.73, 10 Pd 2.75-2.90, 1 Sn 2.78
9 Pd 0.3750 0.8750 0.0000  12 Pd 2.80-2.86
10 Pd 0.1288 0.1288 0.2546  1 Al 2.73, 10 Pd 2.75-2.90, 1 Sn 2.78
11 Pd 0.3750 0.8750 0.5000  8 Pd 2.75, 2 Sn 2.86, 2 Al 2.86
12 Pd 0.8750 0.8750 0.0000  12 Pd 2.82-2.86
13 Pd 0.6213 0.1287 0.7454  1 Al 2.73, 10 Pd 2.75-2.90, 1 Sn 2.78
14 Pd 0.6213 0.1287 0.2546  1 Al 2.73, 10 Pd 2.75-2.90, 1 Sn 2.78
15 Pd 0.8750 0.3750 0.0000  12 Pd 2.80-2.86
16 Pd 0.1287 0.6213 0.7454  1 Al 2.73, 10 Pd 2.75-2.90, 1 Sn 2.78

Summary:
**Formation enthalpy at 0 K**: -6.4 kcal/mol of atoms

No. 4
Tm4BTeSe2 | GGA-PBE | relaxed

a = 5.7039 Å, b = 5.7039 Å, c = 7.0932 Å
α = 113.71°, β = 113.71°, γ = 90.00°
Closest atoms and distances in Å follow each position.
Element x y z (fractional)
1 Tm 0.9633 0.4633 0.9265  1 B 2.49
2 Te 0.5000 0.5000 0.0000  6 Tm 2.88-3.00
3 Tm 0.7569 0.7569 0.5138  3 Se 2.84-2.85, 2 B 2.85, 1 Te 3.00
4 Tm 0.2431 0.2431 0.4862  3 Se 2.84-2.85, 2 B 2.85, 1 Te 3.00
5 B 0.7500 0.2500 0.5000  2 Tm 2.49
6 Se 0.2500 0.7500 0.5000  4 Tm 2.85
7 Tm 0.5367 0.0367 0.0735  1 B 2.49
8 Se 0.0000 0.0000 0.0000  6 Tm 2.84-2.88

No. 5
MgTl3C2O6 | GGA-PBE | relaxed

a = 5.1694 Å, b = 5.1694 Å, c = 8.3793 Å
α = 90.00°, β = 90.00°, γ = 120.00°
Closest atoms and distances in Å follow each position.
Element x y z (fractional)
1 Mg 0.0000 0.0000 0.5000  6 O 2.10
2 Tl 0.6667 0.3333 0.1994  6 O 2.88
3 O 0.3766 0.1883 0.6500  1 C 1.30
4 O 0.1883 0.8117 0.3500  1 C 1.30
5 O 0.8117 0.1883 0.6500  1 C 1.30
6 O 0.6234 0.8117 0.3500  1 C 1.30
7 Tl 0.3333 0.6667 0.8006  6 O 2.88
8 O 0.1883 0.3766 0.3500  1 C 1.30
9 O 0.8117 0.6234 0.6500  1 C 1.30
10 C 0.3333 0.6667 0.3548  3 O 1.30
11 Tl 0.0000 0.0000 0.0000  6 O 3.38, 6 Tl 3.42
12 C 0.6667 0.3333 0.6452  3 O 1.30

No. 6
Tc2P | GGA-PBE | relaxed

a = 4.1173 Å, b = 4.1173 Å, c = 2.8071 Å
α = 90.00°, β = 90.00°, γ = 120.00°
Closest atoms and distances in Å follow each position.
Element x y z (fractional)
1 Tc 0.6667 0.3333 0.7632  3 P 2.47, 3 Tc 2.72
2 P 0.0000 0.0000 0.0000  6 Tc 2.47
3 Tc 0.3333 0.6667 0.2368  3 P 2.47, 3 Tc 2.72

Summary:
**Polymorph energy (0 for the lowest one)**: 0.226 eV per atom
**Formation enthalpy at 0 K**: -4.9 kcal/mol of atoms

No. 7
LiN2Cl2 | GGA-PBE | relaxed

a = 4.3493 Å, b = 3.7356 Å, c = 9.7869 Å
α = 98.62°, β = 90.00°, γ = 125.60°
Closest atoms and distances in Å follow each position.
Element x y z (fractional)
1 N 0.9615 0.9230 0.5474  1 N 1.11
2 Cl 0.3532 0.7064 0.8822  3 Li 2.54-2.62, 1 Cl 2.64
3 N 0.0385 0.0770 0.4526  1 N 1.11
4 Cl 0.6468 0.2936 0.1178  3 Li 2.54-2.62, 1 Cl 2.64
5 Li 0.0000 0.0000 0.0000  6 Cl 2.54-2.62

No. 8
CrCdSeN2 | GGA-PBE | relaxed

a = 3.7372 Å, b = 3.7372 Å, c = 5.3554 Å
α = 90.00°, β = 90.00°, γ = 90.00°
Closest atoms and distances in Å follow each position.
Element x y z (fractional)
1 Se 0.0000 0.0000 0.5000  4 Cd 2.64, 2 Cr 2.68
2 N 0.5000 0.0000 0.0000  2 Cr 1.87
3 N 0.0000 0.5000 0.0000  2 Cr 1.87
4 Cd 0.5000 0.5000 0.5000  4 Se 2.64
5 Cr 0.0000 0.0000 0.0000  4 N 1.87

Summary:
**Polymorph energy (0 for the lowest one)**: 0.000 eV per atom

No. 9
LaDyY | GGA-PBE | relaxed

a = 3.6248 Å, b = 3.6248 Å, c = 8.8301 Å
α = 90.00°, β = 90.00°, γ = 120.00°
Closest atoms and distances in Å follow each position.
Element x y z (fractional)
1 Dy 0.6667 0.3333 0.3380  3 Y 3.54, 6 Dy 3.62, 3 La 3.64
2 La 0.0000 0.0000 0.0012  6 La 3.62, 3 Dy 3.64, 3 Y 3.66
3 Y 0.3333 0.6667 0.6608  3 Dy 3.54, 6 Y 3.62, 3 La 3.66

Summary:
**Polymorph energy (0 for the lowest one)**: 0.000 eV per atom
**Formation enthalpy at 0 K**: 0.4 kcal/mol of atoms

No. 10
NpSc4Se6 | GGA-PBE | relaxed

a = 3.8818 Å, b = 6.6724 Å, c = 19.8068 Å
α = 90.00°, β = 90.00°, γ = 106.91°
Closest atoms and distances in Å follow each position.
Element x y z (fractional)
1 Sc 0.4089 0.8179 0.1249  6 Se 2.69-2.74
2 Se 0.3258 0.6516 0.2500  2 Sc 2.69, 2 Np 2.90
3 Se 0.9544 0.9089 0.8378  3 Sc 2.71-2.74, 2 Np 2.97
4 Se 0.5000 0.0000 0.0000  6 Sc 2.73-2.76
5 Sc 0.1416 0.2833 0.4613  6 Se 2.72-2.78
6 Sc 0.8584 0.7167 0.5387  6 Se 2.72-2.78
7 Sc 0.8584 0.7167 0.9613  6 Se 2.72-2.78
8 Sc 0.1416 0.2833 0.0387  6 Se 2.72-2.78
9 Sc 0.5911 0.1821 0.8751  6 Se 2.69-2.74
10 Np 0.6575 0.3151 0.2500  6 Se 2.90-2.97
11 Sc 0.5911 0.1821 0.6249  6 Se 2.69-2.74
12 Se 0.6742 0.3484 0.7500  2 Sc 2.69, 2 Np 2.90
13 Se 0.0456 0.0911 0.1622  3 Sc 2.71-2.74, 2 Np 2.97
14 Sc 0.4089 0.8179 0.3751  6 Se 2.69-2.74
15 Np 0.3425 0.6849 0.7500  6 Se 2.90-2.97
16 Se 0.2315 0.4630 0.5891  5 Sc 2.72-2.78
17 Se 0.2315 0.4630 0.9109  5 Sc 2.72-2.78
18 Se 0.9544 0.9089 0.6622  3 Sc 2.71-2.74, 2 Np 2.97
19 Se 0.7685 0.5370 0.4109  5 Sc 2.72-2.78
20 Se 0.5000 0.0000 0.5000  6 Sc 2.73-2.76
21 Se 0.0456 0.0911 0.3378  3 Sc 2.71-2.74, 2 Np 2.97
22 Se 0.7685 0.5370 0.0891  5 Sc 2.72-2.78

No. 11
Ba8TeP3I4 | GGA-PBE | relaxed

a = 9.6638 Å, b = 10.0234 Å, c = 9.6642 Å
α = 118.83°, β = 120.00°, γ = 90.00°
Closest atoms and distances in Å follow each position.
Element x y z (fractional)
1 I 0.0000 0.0000 0.0000  6 Ba 3.73-3.77
2 Ba 0.2446 0.7067 0.4893  2 P 3.22, 1 Te 3.41, 1 I 3.59
3 Ba 0.2826 0.2933 0.0378  2 P 3.22, 1 Te 3.41, 1 I 3.59
4 Ba 0.7174 0.7067 0.9622  2 P 3.22, 1 Te 3.41, 1 I 3.59
5 Ba 0.7552 0.2933 0.0378  2 P 3.22, 1 Te 3.41, 1 I 3.59
6 Te 0.0000 0.5000 0.0000  6 Ba 3.41
7 P 0.5000 0.5000 0.5000  6 Ba 3.22-3.26
8 Ba 0.2658 0.2977 0.5317  3 P 3.26
9 Ba 0.2448 0.7067 0.9622  2 P 3.22, 1 Te 3.41, 1 I 3.59
10 I 0.5000 0.0000 0.0000  6 Ba 3.59
11 I 0.5000 0.0000 0.5000  6 Ba 3.73-3.77
12 I 0.0000 0.0000 0.5000  6 Ba 3.73-3.77
13 Ba 0.7342 0.7023 0.4683  3 P 3.26
14 P 0.5000 0.5000 0.0000  6 Ba 3.22-3.26
15 Ba 0.7554 0.2933 0.5107  2 P 3.22, 1 Te 3.41, 1 I 3.59
16 P 0.0000 0.5000 0.5000  6 Ba 3.22-3.26

No. 12
ScBe2Nb | GGA-PBE | relaxed

a = 3.0313 Å, b = 3.0313 Å, c = 6.2761 Å
α = 90.00°, β = 90.00°, γ = 90.00°
Closest atoms and distances in Å follow each position.
Element x y z (fractional)
1 Be 0.0000 0.0000 0.7581  4 Nb 2.63, 4 Sc 2.69
2 Nb 0.5000 0.5000 0.0000  8 Be 2.63
3 Sc 0.5000 0.5000 0.5000  8 Be 2.69
4 Be 0.0000 0.0000 0.2419  4 Nb 2.63, 4 Sc 2.69

Summary:
**Polymorph energy (0 for the lowest one)**: 0.000 eV per atom
**Formation enthalpy at 0 K**: -0.8 kcal/mol of atoms

Looking at energy for the records above, in order, we have -4.713, -2.352, -5.305, -5.510, -6.058, -8.926, -5.015, -5.762, -5.313, -6.922, -4.029, -5.999 eV/atom.